# 1
## CoPtRh2 (PBEsol)

Data for crystalline CoPtRh2 at its relaxed geometry.

Values from the calculation:
Formation energy = 9 meV per atom
Theoretical density = 14403 kg/m3
Calculated volume = 13.25 Å³ per atom

Cell and atoms, written as CIF:
```
data_CoPtRh2
_space_group_name_H-M_alt 'P 1 2/m 1'
_space_group_IT_number 10
_cell_length_a 4.589
_cell_length_b 2.660
_cell_length_c 4.605
_cell_angle_alpha 90.00
_cell_angle_beta 109.44
_cell_angle_gamma 90.00
loop_
_space_group_symop_operation_xyz
'x,y,z'
'-x,-y,-z'
'-x,y,-z'
'x,-y,z'
loop_
_atom_site_label
_atom_site_fract_x
_atom_site_fract_y
_atom_site_fract_z
_atom_site_occupancy
Co1 0.000 0.000 0.000 1
Pt1 0.500 0.500 0.000 1
Rh1 0.000 0.500 0.500 1
Rh2 0.500 0.000 0.500 1
```

***

# 2
## Ce2Al41Mo3 (PBEsol)

Data for crystalline Ce2Al41Mo3 at its relaxed geometry.

Values from the calculation:
Formation energy = -158 meV per atom
Theoretical density = 3616 kg/m3
Calculated volume = 16.71 Å³ per atom

Cell and atoms, written as CIF:
```
data_Ce2Al41Mo3
_space_group_name_H-M_alt 'R -3 m'
_space_group_IT_number 166
_space_group_name_Hall '-R 3 2"'
_cell_length_a 10.3112
_cell_length_b 10.3112
_cell_length_c 25.0492
_cell_angle_alpha 90.00
_cell_angle_beta 90.00
_cell_angle_gamma 120.00
loop_
_atom_site_label
_atom_site_fract_x
_atom_site_fract_y
_atom_site_fract_z
_atom_site_occupancy
Ce1 0.0000 0.0000 0.1254 1
Al1 0.0000 0.0000 0.0000 1
Al2 0.0000 0.0000 0.5000 1
Al3 0.0000 0.5000 0.5000 1
Al4 0.0015 0.2660 0.9408 1
Al5 0.0202 0.5101 0.1852 1
Al6 0.0889 0.1778 0.2356 1
Al7 0.0912 0.1823 0.4214 1
Al8 0.0927 0.1855 0.6701 1
Mo1 0.0000 0.5000 0.0000 1
```

***

# 3
## MgZr3Se (PBEsol)

Data for crystalline MgZr3Se at its relaxed geometry.

Values from the calculation:
Formation energy without anion corrections = 1.031 eV per atom
Theoretical density = 5064 kg/m3
Calculated volume = 24.72 Å³ per atom

Cell and atoms, written as CIF:
```
data_MgZr3Se
_space_group_name_H-M_alt 'P m -3 m'
_space_group_IT_number 221
_space_group_name_Hall '-P 4 2 3'
_cell_length_a 4.981
_cell_length_b 4.981
_cell_length_c 4.981
_cell_angle_alpha 90.00
_cell_angle_beta 90.00
_cell_angle_gamma 90.00
loop_
_atom_site_label
_atom_site_fract_x
_atom_site_fract_y
_atom_site_fract_z
_atom_site_occupancy
Mg1 0.000 0.000 0.000 1
Zr1 0.000 0.000 0.500 1
Se1 0.500 0.500 0.500 1
```

***

# 4
## CrInIr3 (PBEsol)

Data for crystalline CrInIr3 at its relaxed geometry.

Values from the calculation:
Formation energy = 1163 meV per atom
Theoretical density = 13888 kg/m3
Calculated volume = 17.78 Å³ per atom
Excess energy over the best structure of this formula in the dataset = 0.00 kJ per mole of atoms

Cell and atoms, written as CIF:
```
data_CrInIr3
_space_group_name_H-M_alt 'P m -3 m'
_space_group_IT_number 221
_space_group_name_Hall '-P 4 2 3'
_cell_length_a 4.463
_cell_length_b 4.463
_cell_length_c 4.463
_cell_angle_alpha 90.00
_cell_angle_beta 90.00
_cell_angle_gamma 90.00
loop_
_atom_site_label
_atom_site_fract_x
_atom_site_fract_y
_atom_site_fract_z
_atom_site_occupancy
Cr1 0.000 0.000 0.000 1
In1 0.500 0.500 0.500 1
Ir1 0.000 0.000 0.500 1
```

***

# 5
## YCd2NiAu (PBEsol)

Data for crystalline YCd2NiAu at its relaxed geometry.

Values from the calculation:
Formation energy = 1362 meV per atom
Theoretical density = 5642 kg/m3
Calculated volume = 33.52 Å³ per atom

Cell and atoms, written as CIF:
```
data_YCd2NiAu
_space_group_name_H-M_alt 'P 4/m m m'
_space_group_IT_number 123
_space_group_name_Hall '-P 4 2'
_cell_length_a 5.678
_cell_length_b 5.678
_cell_length_c 5.198
_cell_angle_alpha 90.00
_cell_angle_beta 90.00
_cell_angle_gamma 90.00
loop_
_atom_site_label
_atom_site_fract_x
_atom_site_fract_y
_atom_site_fract_z
_atom_site_occupancy
Y1 0.000 0.000 0.000 1
Cd1 0.000 0.500 0.000 1
Ni1 0.500 0.500 0.500 1
Au1 0.000 0.000 0.500 1
```

***

# 6
## KRb2MnF6 (PBEsol)

Data for crystalline KRb2MnF6 at its relaxed geometry.

Values from the calculation:
Formation energy without anion corrections = -2.682 eV per atom
Theoretical density = 3668 kg/m3
Calculated volume = 17.16 Å³ per atom

Cell and atoms, written as CIF:
```
data_KRb2MnF6
_space_group_name_H-M_alt 'F m -3 m'
_space_group_IT_number 225
_space_group_name_Hall '-F 4 2 3'
_cell_length_a 8.820
_cell_length_b 8.820
_cell_length_c 8.820
_cell_angle_alpha 90.00
_cell_angle_beta 90.00
_cell_angle_gamma 90.00
loop_
_atom_site_label
_atom_site_fract_x
_atom_site_fract_y
_atom_site_fract_z
_atom_site_occupancy
K1 0.000 0.000 0.000 1
Rb1 0.250 0.250 0.250 1
Mn1 0.000 0.000 0.500 1
F1 0.000 0.000 0.281 1
```

***

# 7
## Zn5Tc (PBEsol)

Data for crystalline Zn5Tc at its relaxed geometry.

Values from the calculation:
Formation energy = 4 meV per atom
Theoretical density = 8578 kg/m3
Calculated volume = 13.71 Å³ per atom
Excess energy over the best structure of this formula in the dataset = 1.37 kJ per mole of atoms

Cell and atoms, written as CIF:
```
data_Zn5Tc
_space_group_name_H-M_alt 'C 1 m 1'
_space_group_IT_number 8
_cell_length_a 9.961
_cell_length_b 2.631
_cell_length_c 6.506
_cell_angle_alpha 90.00
_cell_angle_beta 105.17
_cell_angle_gamma 90.00
loop_
_space_group_symop_operation_xyz
'x,y,z'
'x,-y,z'
'x+1/2,y+1/2,z'
'x+1/2,-y+1/2,z'
loop_
_atom_site_label
_atom_site_fract_x
_atom_site_fract_y
_atom_site_fract_z
_atom_site_occupancy
Zn1 0.000 0.000 0.000 1
Zn2 0.059 0.000 0.613 1
Zn3 0.167 0.500 0.327 1
Zn4 0.229 0.500 0.942 1
Zn5 0.388 0.000 0.280 1
Tc1 0.333 0.000 0.658 1
```

***

# 8
## Y2TlTc (PBEsol)

Data for crystalline Y2TlTc at its relaxed geometry.

Values from the calculation:
Formation energy = 15 meV per atom
Theoretical density = 8365 kg/m3
Calculated volume = 23.83 Å³ per atom

Cell and atoms, written as CIF:
```
data_Y2TlTc
_space_group_name_H-M_alt 'R -3 m'
_space_group_IT_number 166
_space_group_name_Hall '-R 3 2"'
_cell_length_a 3.4723
_cell_length_b 3.4723
_cell_length_c 27.3867
_cell_angle_alpha 90.00
_cell_angle_beta 90.00
_cell_angle_gamma 120.00
loop_
_atom_site_label
_atom_site_fract_x
_atom_site_fract_y
_atom_site_fract_z
_atom_site_occupancy
Y1 0.0000 0.0000 0.2387 1
Tl1 0.0000 0.0000 0.0000 1
Tc1 0.0000 0.0000 0.5000 1
```

***

Among the records above, which one has the highest theoretical density? CoPtRh2